(1)
A relaxed FeCo crystal, computed with PBE-GGA.

## Properties
* V: 11.45 A^3/atom
* ΔH_f (0 K): -16 meV per atom
* total DFT energy (no corrections): -62.4 eV/cell

Cell: 6.368 6.368 4.013 Å, 71.59 71.59 127.07°
Atoms (fractional coordinates):
Fe: 0.625 0.375 0.000
Fe: 0.376 0.624 0.000
Fe: 0.253 0.747 0.500
Fe: 0.125 0.875 0.000
Co: 0.001 0.999 0.500
Co: 0.874 0.126 0.000
Co: 0.750 0.250 0.500
Co: 0.502 0.498 0.500



(2)
A relaxed MgInRh crystal, computed with PBE-GGA.

## Properties
* V: 20.84 A^3/atom
* ΔH_f (0 K): -310 meV per atom
* total DFT energy (no corrections): -50.5 eV/cell

Cell: 4.484 6.238 8.939 Å, 90.00 90.00 90.00°
Atoms (fractional coordinates):
Mg: 0.750 0.998 0.124
Mg: 0.250 0.498 0.376
Mg: 0.250 0.002 0.876
Mg: 0.750 0.502 0.624
Rh: 0.750 0.751 0.378
Rh: 0.250 0.251 0.122
Rh: 0.250 0.249 0.622
Rh: 0.750 0.749 0.878
In: 0.750 0.499 0.131
In: 0.250 0.999 0.369
In: 0.250 0.501 0.869
In: 0.750 0.001 0.631



(3)
A relaxed HfB3Rh crystal, computed with PBE-GGA.

## Properties
* V: 15.06 A^3/atom
* ΔH_f (0 K): 1921 meV per atom
* total DFT energy (no corrections): -27.7 eV/cell

Cell: 4.223 4.223 4.223 Å, 90.00 90.00 90.00°
Atoms (fractional coordinates):
Rh: 0.500 0.500 0.500
B: 0.000 0.500 0.000
B: 0.000 0.000 0.500
B: 0.500 0.000 0.000
Hf: 0.000 0.000 0.000



(4)
A relaxed Li5Ca6Al crystal, computed with PBE-GGA.

## Properties
* V: 29.77 A^3/atom
* ΔH_f (0 K): -32 meV per atom
* total DFT energy (no corrections): -25.7 eV/cell

Cell: 5.513 7.800 8.737 Å, 90.00 108.04 90.00°
Atoms (fractional coordinates):
Ca: 0.838 0.758 0.676
Ca: 0.838 0.242 0.676
Ca: 0.500 0.238 0.000
Ca: 0.500 0.762 0.000
Ca: 0.162 0.758 0.324
Ca: 0.162 0.242 0.324
Al: 0.000 0.000 0.000
Li: 0.669 0.500 0.340
Li: 0.335 0.000 0.668
Li: 0.000 0.500 0.000
Li: 0.665 0.000 0.332
Li: 0.331 0.500 0.660